[1]
Compound: Ce4TcGe8
Source: the Alexandria database
Functional: PBE
Structure: optimized geometry

a = 4.0721 Å, b = 4.1909 Å, c = 16.6043 Å
α = 90.00°, β = 90.00°, γ = 90.00°
With the nearest neighbours (Å) after each atom.
Fractional positions:
Ce 0.5000 0.0000 0.8929  10 Ge 3.04-3.27
Ce 0.5000 0.5000 0.3916  4 Tc 3.16, 10 Ge 3.18-3.54
Ce 0.0000 0.5000 0.6136  10 Ge 3.04-3.21
Ce 0.0000 0.0000 0.0993  10 Ge 2.98-3.33
Ge 0.5000 0.0000 0.2304  2 Tc 2.51
Ge 0.5000 0.5000 0.7548  4 Ge 2.92, 4 Ce 3.11
Ge 0.5000 0.0000 0.5633  2 Ge 2.58
Ge 0.0000 0.0000 0.7523  4 Ge 2.92, 4 Ce 3.10-3.11
Ge 0.5000 0.5000 0.0441  2 Ge 2.63
Ge 0.0000 0.0000 0.4674  1 Tc 2.48, 2 Ge 2.58
Ge 0.0000 0.5000 0.2314  2 Tc 2.54
Ge 0.0000 0.5000 0.9436  2 Ge 2.63
Tc 0.0000 0.0000 0.3183  5 Ge 2.48-2.54

Calculated values
- space group = Pmm2 (25)
- total DFT energy (no corrections) (eV/atom) = -6.004
- Fermi-level density of states (states/eV/cell) = 14.062

***

[2]
Compound: TlAsCl
Source: the Alexandria database
Functional: PBE
Structure: optimized geometry

a = 4.9532 Å, b = 4.9532 Å, c = 3.4822 Å
α = 90.00°, β = 90.00°, γ = 120.00°
With the nearest neighbours (Å) after each atom.
Fractional positions:
Cl 0.3333 0.6667 0.3333  6 Tl 3.35, 6 As 3.35, 2 Cl 3.48
Tl 0.6667 0.3333 0.8331  3 As 2.86
As 0.0000 0.0000 0.8335  3 Tl 2.86

Calculated values
- excess energy over the best structure of this formula in the dataset (eV/atom) = 0.169
- space group = P-6m2 (187)
- total DFT energy (no corrections) (eV/atom) = -2.892
- Fermi-level density of states (states/eV/cell) = 1.401

***

[3]
Compound: Sm2Y4Er2Th
Source: the Alexandria database
Functional: PBE
Structure: optimized geometry

a = 3.6043 Å, b = 9.5300 Å, c = 9.5553 Å
α = 115.26°, β = 90.00°, γ = 100.90°
With the nearest neighbours (Å) after each atom.
Fractional positions:
Er 0.8521 0.7042 0.3356  7 Y 3.52-3.61, 3 Sm 3.58, 2 Er 3.60
Er 0.1479 0.2958 0.6644  7 Y 3.52-3.61, 3 Sm 3.58, 2 Er 3.60
Th 0.0000 0.0000 0.0000  6 Y 3.53-3.54, 4 Sm 3.56, 2 Th 3.60
Y 0.8150 0.6299 0.6665  3 Er 3.52-3.60, 2 Sm 3.53, 1 Th 3.54, 6 Y 3.54-3.60
Y 0.4817 0.9635 0.6690  1 Sm 3.51, 2 Th 3.53, 4 Er 3.55-3.61, 5 Y 3.58-3.60
Y 0.1850 0.3701 0.3335  3 Er 3.52-3.60, 2 Sm 3.53, 1 Th 3.54, 6 Y 3.54-3.60
Y 0.5183 0.0365 0.3310  1 Sm 3.51, 2 Th 3.53, 4 Er 3.55-3.61, 5 Y 3.58-3.60
Sm 0.6644 0.3288 0.0004  3 Y 3.51-3.53, 2 Th 3.56, 3 Er 3.58, 4 Sm 3.60-3.68
Sm 0.3356 0.6712 0.9996  3 Y 3.51-3.53, 2 Th 3.56, 3 Er 3.58, 4 Sm 3.60-3.68

Calculated values
- space group = C2/m (12)
- total DFT energy (no corrections) (eV/atom) = -5.759
- Fermi-level density of states (states/eV/cell) = 12.866

***

[4]
Compound: Nd3Ag2Pb
Source: the Alexandria database
Functional: PBE
Structure: optimized geometry

a = 4.0495 Å, b = 5.2354 Å, c = 8.3394 Å
α = 108.29°, β = 90.00°, γ = 90.00°
With the nearest neighbours (Å) after each atom.
Fractional positions:
Pb 0.0000 0.0000 0.0000  8 Nd 3.31-3.37
Nd 0.5000 0.1698 0.3397  6 Ag 3.24-3.31, 2 Pb 3.37
Nd 0.5000 0.8302 0.6603  6 Ag 3.24-3.31, 2 Pb 3.37
Nd 0.5000 0.5000 0.0000  4 Pb 3.31, 4 Ag 3.37
Ag 0.0000 0.3296 0.6593  8 Nd 3.24-3.37
Ag 0.0000 0.6704 0.3407  8 Nd 3.24-3.37

Calculated values
- space group = Cmmm (65)
- total DFT energy (no corrections) (eV/atom) = -4.283
- Fermi-level density of states (states/eV/cell) = 6.268

***

[5]
Compound: InSb2Pt
Source: the Alexandria database
Functional: PBE
Structure: optimized geometry

a = 6.8556 Å, b = 6.8556 Å, c = 6.8556 Å
α = 149.56°, β = 142.17°, γ = 49.31°
With the nearest neighbours (Å) after each atom.
Fractional positions:
Pt 0.2380 0.7380 0.5000  6 Sb 2.77-2.87, 2 In 3.05
Sb 0.0695 0.0695 0.0000  2 Pt 2.77
Sb 0.7563 0.2563 0.5000  4 Pt 2.87, 2 In 3.16
In 0.4361 0.4361 0.0000  2 Pt 3.05, 6 Sb 3.16-3.31

Calculated values
- space group = Imm2 (44)
- total DFT energy (no corrections) (eV/atom) = -4.331
- Fermi-level density of states (states/eV/cell) = 2.333

***

[6]
Compound: Ba2SiHg
Source: the Alexandria database
Functional: PBE
Structure: optimized geometry

a = 5.8394 Å, b = 5.8394 Å, c = 4.0973 Å
α = 90.00°, β = 90.00°, γ = 90.00°
With the nearest neighbours (Å) after each atom.
Fractional positions:
Si 0.0000 0.5000 0.5000  8 Ba 3.57
Ba 0.0000 0.0000 0.0000  4 Hg 3.57, 4 Si 3.57
Ba 0.5000 0.5000 0.0000  4 Hg 3.57, 4 Si 3.57
Hg 0.5000 0.0000 0.5000  8 Ba 3.57

Calculated values
- space group = P4/mmm (123)
- total DFT energy (no corrections) (eV/atom) = -2.706
- Fermi-level density of states (states/eV/cell) = 2.499

***

[7]
Compound: Zn2AgAu2
Source: the Alexandria database
Functional: PBE
Structure: optimized geometry

a = 7.3195 Å, b = 7.3195 Å, c = 3.1621 Å
α = 90.00°, β = 90.00°, γ = 90.00°
With the nearest neighbours (Å) after each atom.
Fractional positions:
Au 0.6627 0.8373 0.5000  6 Zn 2.63-2.70
Au 0.3373 0.1627 0.5000  6 Zn 2.63-2.70
Au 0.8373 0.3373 0.5000  6 Zn 2.63-2.70
Au 0.1627 0.6627 0.5000  6 Zn 2.63-2.70
Ag 0.0000 0.0000 0.0000  4 Zn 2.85, 2 Ag 3.16, 8 Au 3.16
Ag 0.5000 0.5000 0.0000  4 Zn 2.85, 2 Ag 3.16, 8 Au 3.16
Zn 0.6349 0.1349 0.0000  6 Au 2.63-2.70, 1 Zn 2.79, 2 Ag 2.85
Zn 0.8651 0.6349 0.0000  6 Au 2.63-2.70, 1 Zn 2.79, 2 Ag 2.85
Zn 0.3651 0.8651 0.0000  6 Au 2.63-2.70, 1 Zn 2.79, 2 Ag 2.85
Zn 0.1349 0.3651 0.0000  6 Au 2.63-2.70, 1 Zn 2.79, 2 Ag 2.85

Calculated values
- excess energy over the best structure of this formula in the dataset (eV/atom) = 0.011
- space group = P4/mbm (127)
- total DFT energy (no corrections) (eV/atom) = -2.534
- Fermi-level density of states (states/eV/cell) = 2.884

***

[8]
Compound: ZrP2Br
Source: the Alexandria database
Functional: PBE
Structure: optimized geometry

a = 3.3803 Å, b = 3.7467 Å, c = 8.0220 Å
α = 90.35°, β = 90.00°, γ = 90.00°
With the nearest neighbours (Å) after each atom.
Fractional positions:
Zr 0.0000 0.6252 0.4082  6 P 2.67-2.99, 2 Br 2.72
P 0.5000 0.1237 0.3001  2 P 2.23
P 0.0000 0.1219 0.1184  2 P 2.23
Br 0.5000 0.6292 0.6733  2 Zr 2.72

Calculated values
- excess energy over the best structure of this formula in the dataset (eV/atom) = 0.000
- space group = Pm (6)
- total DFT energy (no corrections) (eV/atom) = -5.983
- Fermi-level density of states (states/eV/cell) = 1.249

***

[9]
Compound: Ca2IrPt
Source: the Alexandria database
Functional: PBE
Structure: optimized geometry

a = 7.6971 Å, b = 7.6971 Å, c = 6.1691 Å
α = 51.40°, β = 51.40°, γ = 90.00°
With the nearest neighbours (Å) after each atom.
Fractional positions:
Ir 0.5000 0.5000 0.0000  4 Ca 2.79, 2 Pt 2.90
Ir 0.2500 0.7500 0.5000  4 Ca 2.79, 2 Pt 2.90
Ca 0.3750 0.3793 0.7500  2 Ir 2.79, 2 Pt 2.84, 2 Ca 2.90
Ca 0.8750 0.8707 0.7500  2 Ir 2.79, 2 Pt 2.84, 2 Ca 2.90
Ca 0.1293 0.6250 0.2500  2 Ir 2.79, 2 Pt 2.84, 2 Ca 2.90
Ca 0.6207 0.1250 0.2500  2 Ir 2.79, 2 Pt 2.84, 2 Ca 2.90
Pt 0.7500 0.2500 0.5000  4 Ca 2.84, 2 Ir 2.90
Pt 0.0000 0.0000 0.0000  4 Ca 2.84, 2 Ir 2.90

Calculated values
- space group = I-42d (122)
- total DFT energy (no corrections) (eV/atom) = -4.878
- Fermi-level density of states (states/eV/cell) = 3.653

***

[10]
Compound: SrPrNpO6
Source: the Alexandria database
Functional: PBE
Structure: optimized geometry

a = 6.0396 Å, b = 6.0396 Å, c = 9.8378 Å
α = 90.00°, β = 90.00°, γ = 120.00°
With the nearest neighbours (Å) after each atom.
Fractional positions:
O 0.3863 0.0442 0.1402  1 Np 2.03
O 0.0442 0.3863 0.6402  1 Np 2.03
O 0.6579 0.0442 0.3598  1 Np 2.03
O 0.9558 0.6137 0.3598  1 Np 2.03
O 0.3421 0.9558 0.6402  1 Np 2.03
O 0.6579 0.6137 0.1402  1 Np 2.03
O 0.0442 0.6579 0.8598  1 Np 2.03
O 0.6137 0.9558 0.8598  1 Np 2.03
O 0.3421 0.3863 0.8598  1 Np 2.03
O 0.9558 0.3421 0.1402  1 Np 2.03
O 0.6137 0.6579 0.6402  1 Np 2.03
O 0.3863 0.3421 0.3598  1 Np 2.03
Pr 0.6667 0.3333 0.7500  6 O 2.40
Pr 0.3333 0.6667 0.2500  6 O 2.40
Np 0.3333 0.6667 0.7500  6 O 2.03
Np 0.6667 0.3333 0.2500  6 O 2.03
Sr 0.0000 0.0000 0.0000  6 O 2.61
Sr 0.0000 0.0000 0.5000  6 O 2.61

Calculated values
- space group = P-31c (163)
- total DFT energy (no corrections) (eV/atom) = -8.386

***

[11]
Compound: CsCaRe3
Source: the Alexandria database
Functional: PBE
Structure: optimized geometry

a = 5.1271 Å, b = 5.1271 Å, c = 5.1271 Å
α = 90.00°, β = 90.00°, γ = 90.00°
With the nearest neighbours (Å) after each atom.
Fractional positions:
Re 0.0000 0.0000 0.5000  2 Ca 2.56
Re 0.5000 0.0000 0.0000  2 Ca 2.56
Re 0.0000 0.5000 0.0000  2 Ca 2.56
Ca 0.0000 0.0000 0.0000  6 Re 2.56
Cs 0.5000 0.5000 0.5000  12 Re 3.63

Calculated values
- excess energy over the best structure of this formula in the dataset (eV/atom) = 0.000
- space group = Pm-3m (221)
- total DFT energy (no corrections) (eV/atom) = -4.612
- Fermi-level density of states (states/eV/cell) = 7.199

***

[12]
Compound: CaLaY2
Source: the Alexandria database
Functional: PBE
Structure: optimized geometry

a = 5.3387 Å, b = 5.1459 Å, c = 5.1459 Å
α = 90.00°, β = 90.00°, γ = 90.00°
With the nearest neighbours (Å) after each atom.
Fractional positions:
La 0.5000 0.0000 0.5000  4 Ca 3.64, 8 Y 3.71
Y 0.0000 0.5000 0.5000  4 Y 3.64, 4 Ca 3.71, 4 La 3.71
Y 0.0000 0.0000 0.0000  4 Y 3.64, 4 La 3.71, 4 Ca 3.71
Ca 0.5000 0.5000 0.0000  4 La 3.64, 8 Y 3.71

Calculated values
- excess energy over the best structure of this formula in the dataset (eV/atom) = 0.062
- space group = P4/mmm (123)
- total DFT energy (no corrections) (eV/atom) = -4.846
- Fermi-level density of states (states/eV/cell) = 7.322

***

Question: Which value of total DFT energy (no corrections) does entry 9 give?
Answer: -4.878 eV/atom